[1]
An optimized crystal structure of CePu2PaGe4. Source: Alexandria, functional PBE.

ΔH_f (0 K) = -0.39 eV/atom
symmetry = R-3m (166)

Unit cell a=8.7208 b=8.7208 c=8.7208 alpha=33.73 beta=33.73 gamma=33.73
Last column: nearest neighbours and their distance in Å.
Fractional positions:
Ce 0.0000 0.0000 0.0000  8 Ge 3.02-3.10
Pu 0.2401 0.2401 0.2401  7 Ge 2.90-3.19
Pu 0.7599 0.7599 0.7599  7 Ge 2.90-3.19
Pa 0.5000 0.5000 0.5000  8 Ge 3.09-3.12, 6 Pu 3.44
Ge 0.1225 0.1225 0.1225  4 Pu 2.90-3.01, 1 Ce 3.02, 3 Pa 3.12
Ge 0.3749 0.3749 0.3749  1 Pa 3.09, 3 Ce 3.10, 4 Pu 3.19-3.32
Ge 0.6251 0.6251 0.6251  1 Pa 3.09, 3 Ce 3.10, 4 Pu 3.19-3.32
Ge 0.8775 0.8775 0.8775  4 Pu 2.90-3.01, 1 Ce 3.02, 3 Pa 3.12

[2]
An optimized crystal structure of Hf6GaOs. Source: Alexandria, functional PBE.

ΔH_f (0 K) = 0.13 eV/atom
symmetry = C2/m (12)

Unit cell a=6.1114 b=6.1114 c=6.1588 alpha=103.89 beta=103.89 gamma=120.15
Last column: nearest neighbours and their distance in Å.
Fractional positions:
Hf 0.0438 0.4545 0.2469  1 Os 2.67, 1 Ga 2.68
Hf 0.2501 0.2501 0.7541  1 Os 2.62, 1 Ga 2.66
Hf 0.4545 0.0438 0.2469  1 Os 2.67, 1 Ga 2.68
Hf 0.5455 0.9562 0.7531  1 Os 2.67, 1 Ga 2.68
Hf 0.7499 0.7499 0.2459  1 Os 2.62, 1 Ga 2.66
Hf 0.9562 0.5455 0.7531  1 Os 2.67, 1 Ga 2.68
Ga 0.5000 0.5000 0.5000  6 Hf 2.66-2.68
Os 0.0000 0.0000 0.0000  6 Hf 2.62-2.67

[3]
An optimized crystal structure of NaSm2P2N6. Source: Alexandria, functional PBE.

energy relative to the elements, uncorrected = -0.71 eV per atom
symmetry = P-1 (2)

Unit cell a=5.8116 b=6.2874 c=6.3623 alpha=99.13 beta=110.97 gamma=115.97
Last column: nearest neighbours and their distance in Å.
Fractional positions:
Na 0.0000 0.0000 0.0000  4 N 2.47-2.49
Sm 0.3760 0.6694 0.2965  5 N 2.34-2.50
Sm 0.6240 0.3306 0.7035  5 N 2.34-2.50
P 0.2964 0.7397 0.7435  3 N 1.57-1.59
P 0.7036 0.2603 0.2565  3 N 1.57-1.59
N 0.1449 0.6938 0.9066  1 P 1.57
N 0.2542 0.8850 0.5644  1 P 1.59
N 0.4948 0.6343 0.7285  1 P 1.58
N 0.5052 0.3657 0.2715  1 P 1.58
N 0.7458 0.1150 0.4356  1 P 1.59
N 0.8551 0.3062 0.0934  1 P 1.57